(1)
PBE Sm2PuAg, relaxed; space group = Fm-3m, No. 225; formation enthalpy at 0 K = 0.170 eV/atom
1.0
5.387 0.000 0.000
2.694 4.666 0.000
2.694 1.555 4.402
Ag Sm Pu
1 2 1
Cartesian
0.000 0.000 0.000 Ag
2.694 1.555 1.099 Sm
8.081 4.666 3.303 Sm
5.387 3.110 2.201 Pu

=====

(2)
PBE Nd4GaNi, relaxed; space group = P2_1/m, No. 11; formation enthalpy at 0 K = -0.251 eV/atom
1.0
-6.173 -1.014 -0.536
1.260 -6.502 -2.212
2.510 -2.102 7.609
Nd Ga Ni
8 2 2
Cartesian
-2.132 -3.063 2.279 Nd
-0.271 -6.555 2.582 Nd
-1.101 -4.063 5.805 Nd
-1.302 -5.555 -0.943 Nd
-5.402 -1.583 1.532 Nd
2.374 -4.810 4.427 Nd
-4.777 -4.808 0.435 Nd
2.999 -8.035 3.330 Nd
-0.869 -1.957 -0.253 Ga
-1.534 -7.661 5.114 Ga
0.316 -3.025 3.561 Ni
-2.719 -6.593 1.301 Ni

=====

(3)
PBE MnRh2Cl, relaxed; space group = Cmm2, No. 35; formation energy (no corrections) = 258 meV/atom
1.0
2.908 0.085 0.000
-1.440 2.527 0.000
0.000 0.000 8.380
Cl Mn Rh
1 1 2
Cartesian
0.000 0.000 4.388 Cl
0.734 1.306 6.255 Mn
0.000 0.000 8.259 Rh
0.734 1.306 2.048 Rh

=====

(4)
PBE Pr2Al9Ir3, relaxed; space group = Cmcm, No. 63; formation enthalpy at 0 K = -0.836 eV/atom
1.0
7.625 -0.002 0.000
-3.742 6.644 0.000
0.000 0.000 9.641
Pr Al Ir
4 18 6
Cartesian
5.079 4.454 2.410 Pr
-1.196 2.187 7.231 Pr
1.391 6.611 2.410 Pr
2.493 0.030 7.231 Pr
0.510 0.871 2.410 Al
3.374 5.770 7.231 Al
-1.234 2.228 0.700 Al
5.117 4.414 8.941 Al
5.117 4.414 5.521 Al
2.546 0.017 4.120 Al
-1.234 2.228 4.120 Al
1.337 6.624 5.521 Al
1.337 6.624 8.941 Al
2.546 0.017 0.700 Al
1.298 2.219 5.261 Al
2.586 4.422 4.380 Al
2.586 4.422 0.441 Al
1.298 2.219 9.200 Al
0.545 3.629 2.410 Al
3.339 3.012 7.231 Al
2.896 2.254 2.410 Al
0.988 4.387 7.231 Al
3.884 2.185 0.000 Ir
0.000 4.456 0.000 Ir
0.000 4.456 4.820 Ir
3.884 2.185 4.820 Ir
0.000 0.000 0.000 Ir
0.000 0.000 4.820 Ir

=====

| no. | electronic total energy (eV per atom) |
| --- | --- |
| 1 | -6.485 |
| 2 | -4.897 |
| 3 | -6.171 |
| 4 | -5.824 |